Density functional theory data (PBE with a Hubbard U) for a relaxed structure of NiH20S2N2O14.

Properties
Its total energy is -5.248 eV per atom. Its density of states at the Fermi level is 0.0 states/eV/f.u.

The structure in POSCAR format:
```
NiH20S2N2O14
1.0
6.3593 0.0000 0.0000
0.0000 12.4109 0.0000
-2.6520 0.0000 8.7596
Ni H S N O
2 40 4 4 28
Direct
0.0000 0.0000 0.0000 Ni
0.0000 0.5000 0.5000 Ni
0.0081 0.1887 0.1382 H
0.0081 0.3113 0.6382 H
0.0648 0.0984 0.2667 H
0.0648 0.4016 0.7667 H
0.0977 0.6185 0.7546 H
0.0977 0.8815 0.2546 H
0.1927 0.6720 0.0687 H
0.1927 0.8280 0.5687 H
0.3173 0.1449 0.0206 H
0.3173 0.3551 0.5206 H
0.3235 0.5851 0.7214 H
0.3235 0.9149 0.2214 H
0.3275 0.0588 0.8953 H
0.3275 0.4412 0.3953 H
0.3744 0.5784 0.1636 H
0.3744 0.9216 0.6636 H
0.3959 0.7071 0.2299 H
0.3959 0.7929 0.7299 H
0.4533 0.6802 0.0643 H
0.4533 0.8198 0.5643 H
0.5467 0.1802 0.4357 H
0.5467 0.3198 0.9357 H
0.6041 0.2071 0.2701 H
0.6041 0.2929 0.7701 H
0.6256 0.0784 0.3364 H
0.6256 0.4216 0.8364 H
0.6725 0.5588 0.6047 H
0.6725 0.9412 0.1047 H
0.6765 0.0851 0.7786 H
0.6765 0.4149 0.2786 H
0.6827 0.6449 0.4794 H
0.6827 0.8551 0.9794 H
0.8073 0.1720 0.4313 H
0.8073 0.3280 0.9313 H
0.9023 0.1185 0.7454 H
0.9023 0.3815 0.2454 H
0.9352 0.5984 0.2333 H
0.9352 0.9016 0.7333 H
0.9919 0.6887 0.3618 H
0.9919 0.8113 0.8618 H
0.2630 0.1327 0.5870 S
0.2630 0.3673 0.0870 S
0.7370 0.6327 0.9130 S
0.7370 0.8673 0.4130 S
0.3542 0.6596 0.1329 N
0.3542 0.8404 0.6329 N
0.6458 0.1596 0.3671 N
0.6458 0.3404 0.8671 N
0.0281 0.6138 0.3395 O
0.0281 0.8862 0.8395 O
0.0561 0.1748 0.6137 O
0.0561 0.3252 0.1137 O
0.1683 0.6063 0.6731 O
0.1683 0.8937 0.1731 O
0.2137 0.0692 0.4448 O
0.2137 0.4308 0.9448 O
0.2919 0.0676 0.9933 O
0.2919 0.4324 0.4933 O
0.3837 0.0626 0.7186 O
0.3837 0.4374 0.2186 O
0.4101 0.2262 0.5785 O
0.4101 0.2738 0.0785 O
0.5899 0.7262 0.9215 O
0.5899 0.7738 0.4215 O
0.6163 0.5626 0.7814 O
0.6163 0.9374 0.2814 O
0.7081 0.5676 0.5067 O
0.7081 0.9324 0.0067 O
0.7863 0.5692 0.0552 O
0.7863 0.9308 0.5552 O
0.8317 0.1063 0.8269 O
0.8317 0.3937 0.3269 O
0.9439 0.6748 0.8863 O
0.9439 0.8252 0.3863 O
0.9719 0.1138 0.1605 O
0.9719 0.3862 0.6605 O
```